The following is a DFT calculation (PBE-GGA) of Tb2PmRh2 after structural relaxation.

Unit cell a=3.7569 b=4.2760 c=15.8139 alpha=90.00 beta=96.82 gamma=90.00
Fractional coordinates of all 10 atoms:
Tb (0.9532, 0.7500, 0.9063)
Tb (0.0468, 0.2500, 0.0937)
Tb (0.7131, 0.2500, 0.4262)
Tb (0.2869, 0.7500, 0.5738)
Rh (0.1463, 0.2500, 0.2927)
Rh (0.4695, 0.2500, 0.9389)
Rh (0.5305, 0.7500, 0.0611)
Rh (0.8537, 0.7500, 0.7073)
Pm (0.3778, 0.2500, 0.7556)
Pm (0.6222, 0.7500, 0.2444)

Output
calculated formation energy = -593 meV/atom
calculated total energy = -63.36 eV for the cell shown
offset from the most stable computed form = 0.000 eV per formula unit

The following is a DFT calculation (PBE-GGA) of TbPm3Rh3 after structural relaxation.

Unit cell a=4.1809 b=12.0010 c=13.7342 alpha=90.00 beta=90.00 gamma=90.00
Fractional coordinates of all 28 atoms:
Tb (0.2500, 0.5227, 0.6848)
Tb (0.7500, 0.4773, 0.3152)
Tb (0.7500, 0.9773, 0.1848)
Tb (0.2500, 0.0227, 0.8152)
Rh (0.2500, 0.2767, 0.8412)
Rh (0.7500, 0.9477, 0.9357)
Rh (0.2500, 0.7767, 0.6588)
Rh (0.7500, 0.3869, 0.1155)
Rh (0.2500, 0.6131, 0.8845)
Rh (0.2500, 0.5523, 0.4357)
Rh (0.7500, 0.7233, 0.1588)
Rh (0.7500, 0.8869, 0.3845)
Rh (0.7500, 0.2233, 0.3412)
Rh (0.2500, 0.0523, 0.0643)
Rh (0.2500, 0.1131, 0.6155)
Rh (0.7500, 0.4477, 0.5643)
Pm (0.7500, 0.6862, 0.5204)
Pm (0.2500, 0.3138, 0.4796)
Pm (0.7500, 0.1862, 0.9796)
Pm (0.7500, 0.4541, 0.9005)
Pm (0.2500, 0.2476, 0.1964)
Pm (0.2500, 0.7476, 0.3036)
Pm (0.7500, 0.7524, 0.8036)
Pm (0.7500, 0.9541, 0.5995)
Pm (0.2500, 0.8138, 0.0204)
Pm (0.2500, 0.5459, 0.0995)
Pm (0.7500, 0.2524, 0.6964)
Pm (0.2500, 0.0459, 0.4005)

Output
calculated formation energy = -663 meV/atom
calculated total energy = -182.30 eV for the cell shown
offset from the most stable computed form = 0.000 eV per formula unit

The following is a DFT calculation (PBE-GGA) of TbPmRh after structural relaxation.

Unit cell a=4.3121 b=4.5495 c=4.5495 alpha=120.00 beta=90.00 gamma=90.00
Fractional coordinates of all 3 atoms:
Pm (0.2741, 0.3333, 0.6667)
Tb (0.7438, 0.6667, 0.3333)
Rh (0.9821, 0.0000, 0.0000)

Output
calculated formation energy = -384 meV/atom
calculated total energy = -17.88 eV for the cell shown
offset from the most stable computed form = 0.579 eV per formula unit

The following is a DFT calculation (PBE-GGA) of Tb5Pm2Rh4 after structural relaxation.

Unit cell a=3.6259 b=6.8844 c=12.2340 alpha=86.62 beta=98.52 gamma=90.00
Fractional coordinates of all 11 atoms:
Pm (0.0861, 0.3448, 0.1723)
Pm (0.9139, 0.6552, 0.8277)
Rh (0.3310, 0.4791, 0.6620)
Rh (0.9721, 0.2976, 0.9441)
Rh (0.6690, 0.5209, 0.3380)
Rh (0.0279, 0.7024, 0.0559)
Tb (0.1341, 0.8203, 0.2681)
Tb (0.2323, 0.2825, 0.4646)
Tb (0.5000, 0.0000, 0.0000)
Tb (0.7677, 0.7175, 0.5354)
Tb (0.8659, 0.1797, 0.7319)

Output
calculated formation energy = -405 meV/atom
calculated total energy = -66.51 eV for the cell shown

The following is a DFT calculation (PBE-GGA) of Tb5PmRh6 after structural relaxation.

Unit cell a=4.8849 b=6.9027 c=7.7301 alpha=90.00 beta=71.58 gamma=90.00
Fractional coordinates of all 12 atoms:
Tb (0.0000, 0.5000, 0.0000)
Tb (0.3332, 0.5000, 0.3336)
Tb (0.3326, 0.0000, 0.3347)
Tb (0.6668, 0.5000, 0.6664)
Tb (0.6674, 0.0000, 0.6653)
Rh (0.5000, 0.2543, 0.0000)
Rh (0.8318, 0.7483, 0.3364)
Rh (0.1682, 0.7483, 0.6636)
Rh (0.5000, 0.7457, 0.0000)
Rh (0.1682, 0.2517, 0.6636)
Rh (0.8318, 0.2517, 0.3364)
Pm (0.0000, 0.0000, 0.0000)

Output
calculated formation energy = -815 meV/atom
calculated total energy = -81.79 eV for the cell shown

The following is a DFT calculation (PBE-GGA) of TbPm2Rh after structural relaxation.

Unit cell a=3.8935 b=3.8935 c=9.5779 alpha=78.27 beta=78.27 gamma=60.00
Fractional coordinates of all 4 atoms:
Tb (0.5007, 0.5007, 0.4980)
Pm (0.2726, 0.2726, 0.1822)
Pm (0.0605, 0.0605, 0.8184)
Rh (0.6662, 0.6662, 0.0015)

Output
calculated formation energy = -270 meV/atom
calculated total energy = -22.56 eV for the cell shown
offset from the most stable computed form = 0.769 eV per formula unit

The following is a DFT calculation (PBE-GGA) of Tb2PmRh2 after structural relaxation.

Unit cell a=3.8844 b=7.5096 c=8.7543 alpha=90.00 beta=102.82 gamma=90.00
Fractional coordinates of all 10 atoms:
Tb (0.1861, 0.5239, 0.3721)
Tb (0.0310, 0.2459, 0.0621)
Tb (0.8139, 0.0239, 0.6279)
Tb (0.9690, 0.7459, 0.9379)
Rh (0.1970, 0.1377, 0.3940)
Rh (0.5510, 0.5450, 0.1021)
Rh (0.4490, 0.0450, 0.8979)
Rh (0.8030, 0.6377, 0.6060)
Pm (0.6254, 0.9131, 0.2508)
Pm (0.3746, 0.4131, 0.7492)

Output
calculated formation energy = -567 meV/atom
calculated total energy = -63.10 eV for the cell shown
offset from the most stable computed form = 0.130 eV per formula unit

The following is a DFT calculation (PBE-GGA) of TbPmRh after structural relaxation.

Unit cell a=4.7311 b=4.7311 c=7.0071 alpha=90.00 beta=90.00 gamma=90.00
Fractional coordinates of all 6 atoms:
Pm (0.5000, 0.0000, 0.1202)
Pm (0.0000, 0.5000, 0.8798)
Rh (0.0000, 0.5000, 0.2676)
Rh (0.5000, 0.0000, 0.7324)
Tb (0.0000, 0.0000, 0.5000)
Tb (0.5000, 0.5000, 0.5000)

Output
calculated formation energy = -526 meV/atom
calculated total energy = -36.62 eV for the cell shown
offset from the most stable computed form = 0.152 eV per formula unit

The following is a DFT calculation (PBE-GGA) of Tb2Pm6Rh after structural relaxation.

Unit cell a=3.6799 b=9.2150 c=9.9464 alpha=117.60 beta=90.00 gamma=90.00
Fractional coordinates of all 9 atoms:
Tb (0.5000, 0.3257, 0.6514)
Tb (0.5000, 0.6743, 0.3486)
Pm (0.5000, 0.7722, 0.0000)
Pm (0.0000, 0.9990, 0.3341)
Pm (0.0000, 0.0010, 0.6659)
Pm (0.0000, 0.3351, 0.3341)
Pm (0.5000, 0.2278, 0.0000)
Pm (0.0000, 0.6649, 0.6659)
Rh (0.0000, 0.0000, 0.0000)

Output
calculated formation energy = 30 meV/atom
calculated total energy = -44.84 eV for the cell shown

The following is a DFT calculation (PBE-GGA) of Tb3PmRh8 after structural relaxation.

Unit cell a=5.3559 b=5.3559 c=8.7736 alpha=90.00 beta=90.00 gamma=120.00
Fractional coordinates of all 12 atoms:
Pm (0.0000, 0.0000, 0.5674)
Rh (0.1648, 0.3296, 0.2485)
Rh (0.5020, 0.0040, 0.7519)
Rh (0.3333, 0.6667, 0.4995)
Rh (0.9960, 0.4980, 0.7519)
Rh (0.6704, 0.8352, 0.2485)
Rh (0.1648, 0.8352, 0.2485)
Rh (0.3333, 0.6667, 0.0000)
Rh (0.5020, 0.4980, 0.7519)
Tb (0.0000, 0.0000, 0.9338)
Tb (0.6667, 0.3333, 0.0664)
Tb (0.6667, 0.3333, 0.4319)

Output
calculated formation energy = -693 meV/atom
calculated total energy = -85.77 eV for the cell shown

The following is a DFT calculation (PBE-GGA) of Tb3PmRh2 after structural relaxation.

Unit cell a=4.2610 b=8.4232 c=10.4468 alpha=69.69 beta=78.23 gamma=75.35
Fractional coordinates of all 12 atoms:
Tb (0.7116, 0.6688, 0.9079)
Tb (0.1709, 0.1918, 0.4664)
Tb (0.8291, 0.8082, 0.5336)
Tb (0.9250, 0.9799, 0.1701)
Tb (0.2884, 0.3312, 0.0921)
Tb (0.0750, 0.0201, 0.8299)
Rh (0.1181, 0.6816, 0.0823)
Rh (0.3640, 0.9220, 0.3500)
Rh (0.8819, 0.3184, 0.9177)
Rh (0.6360, 0.0780, 0.6500)
Pm (0.5558, 0.6002, 0.2882)
Pm (0.4442, 0.3998, 0.7118)

Output
calculated formation energy = -560 meV/atom
calculated total energy = -73.41 eV for the cell shown

The following is a DFT calculation (PBE-GGA) of Tb4PmRh after structural relaxation.

Unit cell a=5.5923 b=7.5262 c=9.6400 alpha=90.00 beta=106.86 gamma=90.00
Fractional coordinates of all 12 atoms:
Tb (0.2964, 0.5345, 0.5928)
Tb (0.7039, 0.5271, 0.4078)
Tb (0.5002, 0.5300, 0.0004)
Tb (0.4998, 0.0300, 0.9996)
Tb (0.8833, 0.2806, 0.7666)
Tb (0.2961, 0.0271, 0.5922)
Tb (0.7036, 0.0345, 0.4072)
Tb (0.1167, 0.7806, 0.2334)
Pm (0.8826, 0.7807, 0.7652)
Pm (0.1174, 0.2807, 0.2348)
Rh (0.6016, 0.7804, 0.2032)
Rh (0.3984, 0.2804, 0.7968)

Output
calculated formation energy = -177 meV/atom
calculated total energy = -63.38 eV for the cell shown